Ce3Al2Zn6Ga: relaxed, PBE.

Summary:
Its space-group type is P-3m1, No. 164. Its formation enthalpy at 0 K is -0.16 eV/atom. The value obtained for the total magnetic moment is 0.158 μB/atom.

Geometry as POSCAR:
```
Ce3Al2Zn6Ga
1.0
5.141 0.000 0.000
-2.571 4.452 0.000
0.000 0.000 10.691
Ce Al Zn Ga
3 2 6 1
direct
0.000 0.000 0.000
0.333 0.667 0.540
0.667 0.333 0.460
0.333 0.667 0.853
0.667 0.333 0.147
0.168 0.336 0.268
0.168 0.832 0.268
0.336 0.168 0.732
0.664 0.832 0.268
0.832 0.168 0.732
0.832 0.664 0.732
0.000 0.000 0.500
```